Below is Tb3Er2ThTe6 after structural relaxation, with properties calculated at the GGA-PBE level.

Cell and atoms, written as POSCAR:
```
Tb3Er2ThTe6
1.0
4.260 0.000 0.000
0.000 8.954 0.670
-2.130 -2.202 9.160
Tb Er Te Th
3 2 6 1
direct
0.500 0.500 0.000
0.152 0.849 0.303
0.848 0.151 0.697
0.166 0.345 0.332
0.834 0.655 0.668
0.668 0.596 0.336
0.992 0.737 0.985
0.676 0.105 0.352
0.324 0.895 0.648
0.008 0.263 0.015
0.332 0.404 0.664
0.500 0.000 0.000
```

Results
Its uncorrected formation energy is -1.22 eV/atom. The calculation puts the volume at 29.64 Å³/atom. Its total magnetization is 0.00 μB/f.u. For the total energy, the calculation gives -5.3273 eV/atom. The symmetry is C2/m, No. 12.

Below is Dy6YMg after structural relaxation, with properties calculated at the GGA-PBE level.

Cell and atoms, written as POSCAR:
```
Dy6YMg
1.0
4.822 0.000 1.316
2.221 5.476 1.354
0.060 -0.106 9.272
Mg Dy Y
1 6 1
direct
0.000 0.000 0.000
0.750 0.128 0.372
0.246 0.385 0.123
0.250 0.872 0.628
0.502 0.245 0.751
0.754 0.615 0.877
0.498 0.755 0.249
0.000 0.500 0.500
```

Results
The calculation puts the polymorph energy (0 for the lowest one) at 0.000 eV per atom. The calculation puts the volume at 30.60 Å³/atom. The formation energy comes out at 0.64 kcal/mol of atoms. Its total magnetization is 0.00 μB/f.u. For the total energy, the calculation gives -4.4310 eV/atom. The symmetry is C2/m, No. 12.

Below is PdSe2Cl after structural relaxation, with properties calculated at the GGA-PBE level.

Cell and atoms, written as POSCAR:
```
PdSe2Cl
1.0
0.000 3.324 3.324
3.324 0.000 3.324
3.324 3.324 0.000
Cl Pd Se
1 1 2
direct
0.000 0.000 0.000
0.500 0.500 0.500
0.750 0.750 0.750
0.250 0.250 0.250
```

Results
The calculation puts the polymorph energy (0 for the lowest one) at 0.684 eV per atom. Its uncorrected formation energy is 0.40 eV/atom. The calculation puts the volume at 18.36 Å³/atom. Its total magnetization is 0.00 μB/f.u. For the total energy, the calculation gives -3.0974 eV/atom. The symmetry is Fm-3m, No. 225.

Below is ReNCl2 after structural relaxation, with properties calculated at the GGA-PBE level.

Cell and atoms, written as POSCAR:
```
ReNCl2
1.0
0.000 2.974 2.974
2.974 0.000 2.974
2.974 2.974 0.000
Cl N Re
2 1 1
direct
0.250 0.250 0.250
0.750 0.750 0.750
0.000 0.000 0.000
0.500 0.500 0.500
```

Results
The calculation puts the polymorph energy (0 for the lowest one) at 0.444 eV per atom. Its uncorrected formation energy is 1.85 eV/atom. The calculation puts the volume at 13.15 Å³/atom. Its total magnetization is 0.00 μB/f.u. For the total energy, the calculation gives -4.2620 eV/atom. The symmetry is Fm-3m, No. 225.